5
Lattice="5.441 0.000 0.000 0.000 5.441 0.000 0.000 0.000 5.654" Properties=species:S:1:pos:R:3 comment="KSrCd2Pt, relaxed, DFT PBE-GGA" mass_density_g_cm3=5.4 dos_at_fermi_per_ev_atom=0.469 space_group=P4/mmm ef_mev_per_atom=-303 pbc="T T T"
K 0.000 0.000 0.000
Sr 2.721 2.721 0.000
Cd 0.000 2.721 2.827
Cd 2.721 0.000 2.827
Pt 2.721 2.721 2.827

***

5
Lattice="5.176 0.000 0.000 0.000 5.176 0.000 0.000 0.000 5.686" Properties=species:S:1:pos:R:3 comment="NbAg2PbF, relaxed, DFT PBE-GGA" mass_density_g_cm3=5.8 de_polymorph_ev_per_fu=4.312 dos_at_fermi_per_ev_atom=1.135 space_group=P4/mmm pbc="T T T"
Nb 0.000 0.000 0.000
Ag 0.000 2.588 0.000
Ag 2.588 0.000 0.000
Pb 0.000 0.000 2.843
F 2.588 2.588 2.843

***

Which E_tot belongs to each record? In order, -0.1789, -0.2488 Ry per atom.